First-principles (GGA-PBE) data for AcEuAsBr after structural relaxation, as listed in Alexandria.

abc: 5.4192 5.4192 5.4192
angles: 60.00 60.00 60.00
With the nearest neighbours (Å) after each atom.
Element x y z (fractional)
Ac (0.0000, 0.0000, 0.0000)  4 Br 3.32, 4 As 3.32
Eu (0.5000, 0.5000, 0.5000)  4 Br 3.32, 4 As 3.32
As (0.2500, 0.2500, 0.2500)  4 Ac 3.32, 4 Eu 3.32
Br (0.7500, 0.7500, 0.7500)  4 Ac 3.32, 4 Eu 3.32

Summary:
volume: 28.134 Å³/atom
E_form (uncorrected): -1285 meV per atom
total energy: -25.8 eV/cell
space-group type: F-43m (216)
M_tot: 7.819 Bohr magnetons per cell

***

First-principles (GGA-PBE) data for Ac4GaAsBr2 after structural relaxation, as listed in Alexandria.

abc: 7.9330 4.6574 7.9580
angles: 90.00 110.14 90.00
With the nearest neighbours (Å) after each atom.
Element x y z (fractional)
Ac (0.2215, 0.0000, 0.2375)  2 Ga 3.13, 1 As 3.16, 3 Br 3.37-3.39
Ac (0.2209, 0.5000, 0.7427)  1 Ga 3.12, 2 As 3.15, 3 Br 3.38-3.40
Ac (0.7785, 0.0000, 0.7625)  2 Ga 3.13, 1 As 3.16, 3 Br 3.37-3.39
Ac (0.7791, 0.5000, 0.2573)  1 Ga 3.12, 2 As 3.15, 3 Br 3.38-3.40
Ga (0.0000, 0.5000, 0.0000)  6 Ac 3.12-3.13
As (0.0000, 0.0000, 0.5000)  6 Ac 3.15-3.16
Br (0.5000, 0.0000, 0.0000)  6 Ac 3.37-3.38
Br (0.5000, 0.5000, 0.5000)  6 Ac 3.39-3.40

Summary:
volume: 34.506 Å³/atom
E_form (uncorrected): -1163 meV per atom
total energy: -36.8 eV/cell
space-group type: P2/m (10)
M_tot: 0.000 Bohr magnetons per cell

***

First-principles (GGA-PBE) data for Ac6GeAs2Br3 after structural relaxation, as listed in Alexandria.

abc: 10.2187 10.2187 9.1551
angles: 102.87 102.87 25.84
With the nearest neighbours (Å) after each atom.
Element x y z (fractional)
Ac (0.0069, 0.0069, 0.2328)  2 Ge 3.11, 1 As 3.12, 3 Br 3.35-3.37
Ac (0.3268, 0.3268, 0.4341)  3 As 3.09-3.10, 3 Br 3.36-3.37
Ac (0.3404, 0.3404, 0.8999)  1 Ge 3.10, 2 As 3.11, 3 Br 3.38-3.40
Ac (0.6596, 0.6596, 0.1001)  1 Ge 3.10, 2 As 3.11, 3 Br 3.38-3.40
Ac (0.6732, 0.6732, 0.5659)  3 As 3.09-3.10, 3 Br 3.36-3.37
Ac (0.9931, 0.9931, 0.7672)  2 Ge 3.11, 1 As 3.12, 3 Br 3.35-3.37
Ge (0.5000, 0.5000, 0.0000)  6 Ac 3.10-3.11
As (0.1675, 0.1675, 0.3343)  6 Ac 3.09-3.12
As (0.8325, 0.8325, 0.6657)  6 Ac 3.09-3.12
Br (0.1656, 0.1656, 0.8318)  6 Ac 3.35-3.40
Br (0.5000, 0.5000, 0.5000)  6 Ac 3.36-3.37
Br (0.8344, 0.8344, 0.1682)  6 Ac 3.35-3.40

Summary:
volume: 33.799 Å³/atom
E_form (uncorrected): -1329 meV per atom
total energy: -59.5 eV/cell
space-group type: C2/m (12)
M_tot: 0.000 Bohr magnetons per cell

***

First-principles (GGA-PBE) data for Ac6Ge3As2Br after structural relaxation, as listed in Alexandria.

abc: 10.2811 10.2811 9.2483
angles: 103.31 103.31 25.61
With the nearest neighbours (Å) after each atom.
Element x y z (fractional)
Ac (0.9995, 0.9995, 0.2293)  3 Ge 3.11-3.19, 1 As 3.22, 2 Br 3.38
Ac (0.0005, 0.0005, 0.7707)  3 Ge 3.11-3.19, 1 As 3.22, 2 Br 3.38
Ac (0.3275, 0.3275, 0.4111)  3 Ge 3.21-3.24, 2 As 3.22, 1 Br 3.36
Ac (0.3331, 0.3331, 0.9190)  3 As 3.24-3.27, 3 Ge 3.25-3.29
Ac (0.6669, 0.6669, 0.0810)  3 As 3.24-3.27, 3 Ge 3.25-3.29
Ac (0.6725, 0.6725, 0.5889)  3 Ge 3.21-3.24, 2 As 3.22, 1 Br 3.36
Ge (0.1630, 0.1630, 0.3356)  6 Ac 3.19-3.29
Ge (0.5000, 0.5000, 0.0000)  6 Ac 3.11-3.25
Ge (0.8370, 0.8370, 0.6644)  6 Ac 3.19-3.29
As (0.1654, 0.1654, 0.8305)  6 Ac 3.22-3.27
As (0.8346, 0.8346, 0.1695)  6 Ac 3.22-3.27
Br (0.5000, 0.5000, 0.5000)  6 Ac 3.36-3.38

Summary:
volume: 34.219 Å³/atom
E_form (uncorrected): -1082 meV per atom
total energy: -62.5 eV/cell
space-group type: C2/m (12)
M_tot: 0.000 Bohr magnetons per cell

***

First-principles (GGA-PBE) data for Ac8Ge3AsBr4 after structural relaxation, as listed in Alexandria.

abc: 9.1780 9.1780 9.1780
angles: 60.28 60.28 60.28
With the nearest neighbours (Å) after each atom.
Element x y z (fractional)
Ac (0.2377, 0.7407, 0.7407)  2 Ge 3.12, 1 As 3.14, 3 Br 3.38-3.40
Ac (0.2399, 0.2399, 0.2399)  3 Ge 3.13, 3 Br 3.39
Ac (0.2593, 0.2593, 0.7623)  2 Ge 3.12, 1 As 3.14, 3 Br 3.38-3.40
Ac (0.2593, 0.7623, 0.2593)  2 Ge 3.12, 1 As 3.14, 3 Br 3.38-3.40
Ac (0.7407, 0.2377, 0.7407)  2 Ge 3.12, 1 As 3.14, 3 Br 3.38-3.40
Ac (0.7407, 0.7407, 0.2377)  2 Ge 3.12, 1 As 3.14, 3 Br 3.38-3.40
Ac (0.7601, 0.7601, 0.7601)  3 Ge 3.13, 3 Br 3.39
Ac (0.7623, 0.2593, 0.2593)  2 Ge 3.12, 1 As 3.14, 3 Br 3.38-3.40
Ge (0.0000, 0.0000, 0.5000)  6 Ac 3.12-3.13
Ge (0.0000, 0.5000, 0.0000)  6 Ac 3.12-3.13
Ge (0.5000, 0.0000, 0.0000)  6 Ac 3.12-3.13
As (0.5000, 0.5000, 0.5000)  6 Ac 3.14
Br (0.0000, 0.0000, 0.0000)  6 Ac 3.38
Br (0.0000, 0.5000, 0.5000)  6 Ac 3.39-3.40
Br (0.5000, 0.0000, 0.5000)  6 Ac 3.39-3.40
Br (0.5000, 0.5000, 0.0000)  6 Ac 3.39-3.40

Summary:
volume: 34.382 Å³/atom
E_form (uncorrected): -1211 meV per atom
total energy: -77.4 eV/cell
space-group type: R-3m (166)
M_tot: 0.001 Bohr magnetons per cell

***

First-principles (GGA-PBE) data for Ac4AsIrBr2 after structural relaxation, as listed in Alexandria.

abc: 8.1121 4.3475 8.2901
angles: 90.00 106.91 90.00
With the nearest neighbours (Å) after each atom.
Element x y z (fractional)
Ac (0.2108, 0.0000, 0.1959)  2 Ir 2.94, 1 As 3.22
Ac (0.2511, 0.5000, 0.7909)  1 Ir 3.03, 2 As 3.13
Ac (0.7489, 0.5000, 0.2091)  1 Ir 3.03, 2 As 3.13
Ac (0.7892, 0.0000, 0.8041)  2 Ir 2.94, 1 As 3.22
As (0.5000, 0.0000, 0.0000)  6 Ac 3.13-3.22
Ir (0.0000, 0.5000, 0.0000)  6 Ac 2.94-3.03
Br (0.0000, 0.0000, 0.5000)  6 Ac 3.43-3.44
Br (0.5000, 0.5000, 0.5000)  6 Ac 3.57-3.63

Summary:
volume: 34.967 Å³/atom
E_form (uncorrected): -1255 meV per atom
total energy: -43.3 eV/cell
space-group type: P2/m (10)
M_tot: 0.000 Bohr magnetons per cell